# K2FeAg

Crystalline K2FeAg at its relaxed geometry (PBE, Alexandria).

Unit cell a=5.767 b=5.767 c=5.767 alpha=60.00 beta=60.00 gamma=60.00
Last column: magnetic moment on the atom in μB.
Fractional coordinates of all 4 atoms:
1 K 0.750 0.750 0.750  -0.01
2 K 0.250 0.250 0.250  -0.01
3 Ag 0.500 0.500 0.500  0.01
4 Fe 0.000 0.000 0.000  3.11

Summary:
E_form = 0.821 eV/atom
Polymorph energy (0 for the lowest one) = 0.2719 eV/atom
E_tot = -10.2 eV for the cell shown
Mass density = 2.96 g/cm3